The following is a DFT calculation (GGA-PBE) of Li3WAu after structural relaxation.

Unit cell a=4.460 b=4.460 c=4.460 alpha=90.00 beta=90.00 gamma=90.00
Fractional coordinates of all 5 atoms:
Li 0.000 0.000 0.500
Li 0.500 0.000 0.000
Li 0.000 0.500 0.000
Au 0.000 0.000 0.000
W 0.500 0.500 0.500

Summary:
Mass density (g cm⁻³): 7.52
SG: Pm-3m
E (eV/atom): -3.2725